## CaTiF5 (SCAN)

Data for a crystal of CaTiF5 relaxed with PBEsol.

abc: 5.5927 5.5927 7.6596
angles: 109.88 109.88 71.85
Positions (direct):
Ca 0.0429 0.9571 0.7500
Ca 0.9571 0.0429 0.2500
Ti 0.5000 0.5000 0.0000
Ti 0.5000 0.5000 0.5000
F 0.1876 0.7902 0.0305
F 0.2098 0.8124 0.4695
F 0.2496 0.2902 0.3809
F 0.2902 0.2496 0.8809
F 0.4083 0.5917 0.7500
F 0.5917 0.4083 0.2500
F 0.7098 0.7504 0.1191
F 0.7504 0.7098 0.6191
F 0.7902 0.1876 0.5305
F 0.8124 0.2098 0.9695

Summary:
Symmetry = C2/c
Total moment = 0.143 μB per atom
Raw formation energy = -26.87 eV per formula unit